# 1
Below is crystalline Li2Mn5Si4O14 at its relaxed geometry, with properties calculated at the PBEsol level.

The structure in CIF format:
```
data_Li2Mn5Si4O14
_chemical_formula_sum 'Li2 Mn5 Si4 O14'
_cell_length_a 5.4576
_cell_length_b 7.4700
_cell_length_c 7.8507
_cell_angle_alpha 113.06
_cell_angle_beta 94.27
_cell_angle_gamma 103.52
_space_group_name_H-M_alt 'P -1'
_space_group_IT_number 2
_space_group_name_Hall '-P 1'
loop_
_atom_site_label
_atom_site_type_symbol
_atom_site_fract_x
_atom_site_fract_y
_atom_site_fract_z
_atom_site_occupancy
Li1 Li 0.2315 0.1021 0.4542 1
Mn1 Mn 0.0000 0.0000 0.0000 1
Mn2 Mn 0.0976 0.3783 0.8230 1
Mn3 Mn 0.3678 0.4227 0.2953 1
Si1 Si 0.2041 0.7859 0.6100 1
Si2 Si 0.4876 0.7857 0.1394 1
O1 O 0.0327 0.1864 0.2721 1
O2 O 0.1189 0.8234 0.4263 1
O3 O 0.1952 0.6755 0.0217 1
O4 O 0.2930 0.5818 0.5682 1
O5 O 0.3002 0.2410 0.0010 1
O6 O 0.4290 0.3086 0.7156 1
O7 O 0.4757 0.9690 0.7381 1
```

## Properties
Energy relative to the elements, uncorrected   -52.173 eV/f.u.
Magnetic moment   25.00 μB/f.u.
Total DFT energy (no corrections)   -8.0556 eV/atom
Crystal system   triclinic

=====

# 2
Below is crystalline Te2IrAu at its relaxed geometry, with properties calculated at the PBEsol level.

The structure in CIF format:
```
data_Te2IrAu
_chemical_formula_sum 'Te4 Ir2 Au2'
_cell_length_a 3.4701
_cell_length_b 4.1262
_cell_length_c 12.1008
_cell_angle_alpha 90.00
_cell_angle_beta 90.00
_cell_angle_gamma 90.00
_space_group_name_H-M_alt 'I m m 2'
_space_group_IT_number 44
_space_group_name_Hall 'I 2 -2'
loop_
_atom_site_label
_atom_site_type_symbol
_atom_site_fract_x
_atom_site_fract_y
_atom_site_fract_z
_atom_site_occupancy
Te1 Te 0.0000 0.0000 0.0000 1
Te2 Te 0.0000 0.5000 0.2174 1
Ir1 Ir 0.0000 0.0000 0.5502 1
Au1 Au 0.0000 0.5000 0.8410 1
```

## Properties
Energy relative to the elements, uncorrected   1.159 eV/f.u.
Energy above the lowest structure with this stoichiometry   365 meV/atom
Magnetic moment   0.00 μB/f.u.
Total DFT energy (no corrections)   -4.9103 eV/atom
Crystal system   orthorhombic